No. 1
# NaInCl2

A relaxed structure of NaInCl2 (PBE, Alexandria via LeMat-Bulk).

Cell: 4.1202 4.1202 25.7478 Å, 90.00 90.00 120.00°
Closest atoms and distances in Å follow each position.
Sites, in units of the cell vectors:
Na: 0.0000 0.0000 0.0000  6 Cl 2.84
Na: 0.3333 0.6667 0.6667  6 Cl 2.84
Na: 0.6667 0.3333 0.3333  6 Cl 2.84
In: 0.0000 0.0000 0.5000  2 Cl 2.75
In: 0.3333 0.6667 0.1667  2 Cl 2.75
In: 0.6667 0.3333 0.8333  2 Cl 2.75
Cl: 0.0000 0.0000 0.3932  1 In 2.75, 3 Na 2.84
Cl: 0.0000 0.0000 0.6068  1 In 2.75, 3 Na 2.84
Cl: 0.3333 0.6667 0.0599  1 In 2.75, 3 Na 2.84
Cl: 0.3333 0.6667 0.2734  1 In 2.75, 3 Na 2.84
Cl: 0.6667 0.3333 0.7266  1 In 2.75, 3 Na 2.84
Cl: 0.6667 0.3333 0.9401  1 In 2.75, 3 Na 2.84

## Properties
* space group: R-3m
* raw formation energy: -1118 meV/atom

---

No. 2
# DyTm3Cd2

A relaxed structure of DyTm3Cd2 (PBE, Alexandria via LeMat-Bulk).

Cell: 3.5603 3.5603 12.9292 Å, 90.00 90.00 90.00°
Closest atoms and distances in Å follow each position.
Sites, in units of the cell vectors:
Dy: 0.0000 0.0000 0.0000  8 Tm 3.52, 4 Dy 3.56
Tm: 0.5000 0.5000 0.1905  4 Cd 3.24, 4 Dy 3.52, 4 Tm 3.56
Tm: 0.5000 0.5000 0.5000  8 Cd 3.20, 4 Tm 3.56
Tm: 0.5000 0.5000 0.8095  4 Cd 3.24, 4 Dy 3.52, 4 Tm 3.56
Cd: 0.0000 0.0000 0.3477  8 Tm 3.20-3.24, 4 Cd 3.56
Cd: 0.0000 0.0000 0.6523  8 Tm 3.20-3.24, 4 Cd 3.56

## Properties
* ΔH_f (0 K): -0.1931 eV/atom
* space group: P4/mmm

---

No. 3
# Np4Ni6Rh7

A relaxed structure of Np4Ni6Rh7 (PBE, Alexandria via LeMat-Bulk).

Cell: 7.0176 7.0176 7.0176 Å, 109.47 109.47 109.47°
Closest atoms and distances in Å follow each position.
Sites, in units of the cell vectors:
Np: 0.0000 0.0000 0.5000  6 Rh 2.86, 6 Ni 2.90
Np: 0.0000 0.5000 0.0000  6 Rh 2.86, 6 Ni 2.90
Np: 0.5000 0.0000 0.0000  6 Rh 2.86, 6 Ni 2.90
Np: 0.5000 0.5000 0.5000  6 Rh 2.86, 6 Ni 2.90
Ni: 0.0000 0.3024 0.3024  5 Rh 2.45-2.58
Ni: 0.0000 0.6976 0.6976  5 Rh 2.45-2.58
Ni: 0.3024 0.0000 0.3024  5 Rh 2.45-2.58
Ni: 0.3024 0.3024 0.0000  5 Rh 2.45-2.58
Ni: 0.6976 0.0000 0.6976  5 Rh 2.45-2.58
Ni: 0.6976 0.6976 0.0000  5 Rh 2.45-2.58
Rh: 0.0000 0.0000 0.0000  6 Ni 2.45
Rh: 0.2500 0.5000 0.7500  4 Ni 2.58, 4 Np 2.86, 4 Rh 2.86
Rh: 0.2500 0.7500 0.5000  4 Ni 2.58, 4 Rh 2.86, 4 Np 2.86
Rh: 0.5000 0.2500 0.7500  4 Ni 2.58, 4 Np 2.86, 4 Rh 2.86
Rh: 0.5000 0.7500 0.2500  4 Ni 2.58, 4 Rh 2.86, 4 Np 2.86
Rh: 0.7500 0.2500 0.5000  4 Ni 2.58, 4 Rh 2.86, 4 Np 2.86
Rh: 0.7500 0.5000 0.2500  4 Ni 2.58, 4 Rh 2.86, 4 Np 2.86

## Properties
* ΔH_f (0 K): -0.2432 eV/atom
* space group: Im-3m

---

No. 4
# RbSnSbTe2

A relaxed structure of RbSnSbTe2 (PBE, Alexandria via LeMat-Bulk).

Cell: 5.9486 5.9486 5.7270 Å, 90.00 90.00 90.00°
Closest atoms and distances in Å follow each position.
Sites, in units of the cell vectors:
Rb: 0.0000 0.0000 0.0000  8 Te 4.13, 4 Sb 4.21
Sn: 0.5000 0.5000 0.5000  2 Sb 2.86, 4 Te 2.97
Sb: 0.5000 0.5000 0.0000  2 Sn 2.86
Te: 0.0000 0.5000 0.5000  2 Sn 2.97
Te: 0.5000 0.0000 0.5000  2 Sn 2.97

## Properties
* space group: P4/mmm
* raw formation energy: -11 meV/atom

---

No. 5
# Tb2Pr4DyHo

A relaxed structure of Tb2Pr4DyHo (PBE, Alexandria via LeMat-Bulk).

Cell: 5.1555 5.1885 10.1076 Å, 90.00 90.00 90.00°
Closest atoms and distances in Å follow each position.
Sites, in units of the cell vectors:
Tb: 0.0000 0.0000 0.0000  8 Pr 3.61-3.62, 4 Ho 3.66
Tb: 0.5000 0.5000 0.5000  8 Pr 3.61-3.62, 4 Dy 3.66
Pr: 0.0000 0.5000 0.2496  2 Ho 3.61, 4 Tb 3.61-3.62, 2 Dy 3.62, 4 Pr 3.66
Pr: 0.0000 0.5000 0.7504  2 Ho 3.61, 4 Tb 3.61-3.62, 2 Dy 3.62, 4 Pr 3.66
Pr: 0.5000 0.0000 0.2498  4 Tb 3.61-3.62, 2 Dy 3.61, 2 Ho 3.62, 4 Pr 3.66
Pr: 0.5000 0.0000 0.7502  4 Tb 3.61-3.62, 2 Dy 3.61, 2 Ho 3.62, 4 Pr 3.66
Dy: 0.0000 0.0000 0.5000  8 Pr 3.61-3.62, 4 Tb 3.66
Ho: 0.5000 0.5000 0.0000  8 Pr 3.61-3.62, 4 Tb 3.66

## Properties
* ΔH_f (0 K): 0.0158 eV/atom
* space group: Pmmm

---

No. 6
# BeAgSb2

A relaxed structure of BeAgSb2 (PBE, Alexandria via LeMat-Bulk).

Cell: 3.9688 5.3775 7.9540 Å, 90.00 90.00 90.00°
Closest atoms and distances in Å follow each position.
Sites, in units of the cell vectors:
Be: 0.0000 0.0000 0.0000  4 Sb 2.59
Be: 0.5000 0.5000 0.0000  4 Sb 2.59
Ag: 0.0000 0.0000 0.5000  4 Sb 3.05, 4 Ag 3.34
Ag: 0.5000 0.5000 0.5000  4 Sb 3.05, 4 Ag 3.34
Sb: 0.0000 0.5000 0.2094  2 Be 2.59
Sb: 0.0000 0.5000 0.7906  2 Be 2.59
Sb: 0.5000 0.0000 0.2094  2 Be 2.59
Sb: 0.5000 0.0000 0.7906  2 Be 2.59

## Properties
* space group: Cmmm
* raw formation energy: 394 meV/atom